DFT (PBE) results for a geometry-optimized NpGa2Pt5 structure.

Geometry as extended XYZ:
```
8
Lattice="-1.937 3.617 5.027 1.937 -3.617 5.027 1.937 3.617 -5.027" Properties=species:S:1:pos:R:3 pbc="T T T"
Np 0.000 0.000 0.000
Ga 1.937 0.000 2.525
Ga 0.000 3.617 2.501
Pt 1.937 2.163 -1.399
Pt 1.937 2.163 1.399
Pt 0.000 3.617 0.000
Pt 0.000 1.454 3.628
Pt 0.000 1.454 6.425
```

The value obtained for the density of states at the Fermi level is 12.04 states/eV/f.u. The value obtained for the magnetization is 3.89 μB/cell. The total energy comes out at -53.52 eV for the cell shown. As for the formation energy: -0.540 eV per atom.